[1]
VASP calculation (GGA-PBE) on a geometry-optimized SbAsSe2Br structure.

Structure (extended XYZ):
```
5
Lattice="5.407 0.000 0.000 0.000 5.407 0.000 0.000 0.000 5.405" Properties=species:S:1:pos:R:3 pbc="T T T"
Sb 0.000 0.000 0.000
As 2.704 2.704 2.703
Se 0.000 2.704 0.000
Se 2.704 0.000 0.000
Br 0.000 0.000 2.703
```

Computed properties:
Space group: P4/mmm
Distance to the lowest polymorph of the same formula in meV per atom: 249.6
DOS at the Fermi energy in states/eV/f.u.: 3.534

***

[2]
VASP calculation (GGA-PBE) on a geometry-optimized Rb2ZnBi structure.

Structure (extended XYZ):
```
8
Lattice="5.832 -4.385 0.000 5.832 4.385 0.000 0.000 0.000 6.906" Properties=species:S:1:pos:R:3 pbc="T T T"
Rb 1.990 1.360 1.726
Rb 1.990 -1.360 5.179
Rb 9.674 1.360 1.726
Rb 9.674 -1.360 5.179
Zn 5.832 0.000 0.000
Zn 5.832 0.000 3.453
Bi 5.832 2.176 1.726
Bi 5.832 -2.176 5.179
```

Computed properties:
Energy relative to the elements in meV/atom: -143
Space group: Cmcm
Distance to the lowest polymorph of the same formula in meV per atom: 0.0
DOS at the Fermi energy in states/eV/f.u.: 2.731

***

[3]
VASP calculation (GGA-PBE) on a geometry-optimized KH2N structure.

Structure (extended XYZ):
```
4
Lattice="0.000 2.817 2.817 2.817 0.000 2.817 2.817 2.817 0.000" Properties=species:S:1:pos:R:3 pbc="T T T"
K 0.000 0.000 0.000
H 1.408 1.408 1.408
H 4.225 4.225 4.225
N 2.817 2.817 2.817
```

Computed properties:
Space group: Fm-3m
Distance to the lowest polymorph of the same formula in meV per atom: 1941.8
DOS at the Fermi energy in states/eV/f.u.: 1.390

***

[4]
VASP calculation (GGA-PBE) on a geometry-optimized Tc3PbF structure.

Structure (extended XYZ):
```
5
Lattice="5.269 0.000 0.000 0.000 5.269 0.000 0.000 0.000 5.269" Properties=species:S:1:pos:R:3 pbc="T T T"
Tc 0.000 0.000 2.635
Tc 0.000 2.635 0.000
Tc 2.635 0.000 0.000
Pb 0.000 0.000 0.000
F 2.635 2.635 2.635
```

Computed properties:
Space group: Pm-3m
Distance to the lowest polymorph of the same formula in meV per atom: 1346.0
DOS at the Fermi energy in states/eV/f.u.: 8.656

***

[5]
VASP calculation (GGA-PBE) on a geometry-optimized TaCuAs2 structure.

Structure (extended XYZ):
```
4
Lattice="4.515 -1.475 0.000 4.515 1.475 0.000 -0.362 0.000 5.047" Properties=species:S:1:pos:R:3 pbc="T T T"
Ta 0.000 0.000 0.000
Cu 4.334 0.000 2.523
As 2.184 0.000 3.874
As 6.484 0.000 1.173
```

Computed properties:
Energy relative to the elements in meV/atom: 150
Space group: C2/m
DOS at the Fermi energy in states/eV/f.u.: 2.573

***

[6]
VASP calculation (GGA-PBE) on a geometry-optimized Ga2TeOF structure.

Structure (extended XYZ):
```
5
Lattice="4.331 0.000 0.000 0.000 4.331 0.000 0.000 0.000 4.388" Properties=species:S:1:pos:R:3 pbc="T T T"
Ga 0.000 2.165 0.000
Ga 2.165 0.000 0.000
Te 0.000 0.000 2.194
O 2.165 2.165 0.000
F 2.165 2.165 2.194
```

Computed properties:
Uncorrected energy in eV per atom: -3.633
Space group: P4/mmm
DOS at the Fermi energy in states/eV/f.u.: 2.215

***

[7]
VASP calculation (GGA-PBE) on a geometry-optimized MgPa5P6 structure.

Structure (extended XYZ):
```
12
Lattice="3.417 -5.925 0.000 3.417 5.925 0.000 -2.285 0.000 6.438" Properties=species:S:1:pos:R:3 pbc="T T T"
Mg 0.000 0.000 0.000
Pa 2.275 3.961 3.219
Pa 3.417 1.976 0.000
Pa 2.275 0.000 3.219
Pa 3.417 -1.976 0.000
Pa 2.275 -3.961 3.219
P 1.120 1.944 1.584
P -0.036 0.000 4.849
P 1.120 -1.944 1.584
P 3.429 1.944 4.854
P 4.585 0.000 1.589
P 3.429 -1.944 4.854
```

Computed properties:
Energy relative to the elements in meV/atom: -1165
Space group: C2/m
DOS at the Fermi energy in states/eV/f.u.: 13.721

***

[8]
VASP calculation (GGA-PBE) on a geometry-optimized Mn2W structure.

Structure (extended XYZ):
```
6
Lattice="1.297 -7.129 0.000 1.297 7.129 0.000 0.000 0.000 4.281" Properties=species:S:1:pos:R:3 pbc="T T T"
Mn 1.297 6.530 3.211
Mn 1.297 1.423 3.211
Mn 1.297 -1.423 1.070
Mn 1.297 -6.530 1.070
W 1.297 2.944 1.070
W 1.297 -2.944 3.211
```

Computed properties:
Energy relative to the elements in meV/atom: 297
Space group: Cmcm
Distance to the lowest polymorph of the same formula in meV per atom: 379.7
DOS at the Fermi energy in states/eV/f.u.: 3.181

***

[9]
VASP calculation (GGA-PBE) on a geometry-optimized Tb3Sc3Tl2 structure.

Structure (extended XYZ):
```
8
Lattice="4.698 0.000 0.000 0.000 4.719 0.000 0.000 0.000 9.398" Properties=species:S:1:pos:R:3 pbc="T T T"
Tb 0.000 0.000 0.000
Tb 0.000 0.000 4.699
Tb 2.349 2.360 0.000
Sc 2.349 0.000 2.413
Sc 2.349 0.000 6.985
Sc 2.349 2.360 4.699
Tl 0.000 2.360 2.398
Tl 0.000 2.360 7.000
```

Computed properties:
Energy relative to the elements in meV/atom: -177
Space group: Pmmm
DOS at the Fermi energy in states/eV/f.u.: 8.432

***

[10]
VASP calculation (GGA-PBE) on a geometry-optimized Ho4ZnPt3 structure.

Structure (extended XYZ):
```
8
Lattice="3.744 0.000 0.000 0.000 4.474 0.000 0.000 0.000 10.622" Properties=species:S:1:pos:R:3 pbc="T T T"
Ho 0.000 0.000 0.000
Ho 0.000 2.237 2.865
Ho 1.872 0.000 5.154
Ho 1.872 2.237 8.205
Zn 0.000 0.000 7.529
Pt 0.000 2.237 5.903
Pt 1.872 0.000 2.341
Pt 1.872 2.237 0.442
```

Computed properties:
Energy relative to the elements in meV/atom: -1078
Space group: Pmm2
DOS at the Fermi energy in states/eV/f.u.: 5.277

***

[11]
VASP calculation (GGA-PBE) on a geometry-optimized CsLiAg2 structure.

Structure (extended XYZ):
```
4
Lattice="0.000 4.064 4.064 4.064 0.000 4.064 4.064 4.064 0.000" Properties=species:S:1:pos:R:3 pbc="T T T"
Cs 0.000 0.000 0.000
Li 4.064 4.064 4.064
Ag 2.032 2.032 2.032
Ag 6.095 6.095 6.095
```

Computed properties:
Energy relative to the elements in meV/atom: 334
Space group: Fm-3m
Distance to the lowest polymorph of the same formula in meV per atom: 380.1
DOS at the Fermi energy in states/eV/f.u.: 1.056

***

[12]
VASP calculation (GGA-PBE) on a geometry-optimized ZrBeHg2 structure.

Structure (extended XYZ):
```
4
Lattice="3.124 0.000 0.000 0.000 4.272 0.000 -1.311 0.000 5.733" Properties=species:S:1:pos:R:3 pbc="T T T"
Zr 0.000 0.000 0.000
Be 0.906 0.000 2.866
Hg 0.237 2.136 4.179
Hg 1.575 2.136 1.554
```

Computed properties:
Energy relative to the elements in meV/atom: 157
Space group: P2/m
DOS at the Fermi energy in states/eV/f.u.: 1.873

***

[13]
VASP calculation (GGA-PBE) on a geometry-optimized Ba2TiRe3O12 structure.

Structure (extended XYZ):
```
18
Lattice="3.665 2.116 5.892 -3.665 2.116 5.892 0.000 -4.232 5.892" Properties=species:S:1:pos:R:3 pbc="T T T"
Ba 0.000 0.000 2.977
Ba 0.000 0.000 14.699
Ti 0.000 0.000 8.838
Re -1.833 -1.058 5.892
Re -1.833 1.058 11.784
Re 0.000 2.116 5.892
O -1.446 -0.835 7.778
O 0.000 -1.585 5.509
O -1.373 0.793 5.509
O 0.000 -1.670 9.898
O -1.446 0.835 9.898
O -1.373 -0.793 12.167
O 1.373 0.793 5.509
O 1.446 -0.835 7.778
O 0.000 1.670 7.778
O 1.373 -0.793 12.167
O 0.000 1.585 12.167
O 1.446 0.835 9.898
```

Computed properties:
Uncorrected energy in eV per atom: -8.067
Space group: R-3m
DOS at the Fermi energy in states/eV/f.u.: 9.050

***

[14]
VASP calculation (GGA-PBE) on a geometry-optimized Sc2TaPb structure.

Structure (extended XYZ):
```
4
Lattice="3.752 0.000 0.000 0.000 3.752 0.000 0.000 0.000 6.280" Properties=species:S:1:pos:R:3 pbc="T T T"
Sc 0.000 0.000 0.000
Sc 1.876 1.876 1.721
Ta 0.000 0.000 3.070
Pb 1.876 1.876 4.686
```

Computed properties:
Energy relative to the elements in meV/atom: 81
Space group: P4mm
DOS at the Fermi energy in states/eV/f.u.: 3.507

***

[15]
VASP calculation (GGA-PBE) on a geometry-optimized Mg4AlNi structure.

Structure (extended XYZ):
```
6
Lattice="0.000 3.887 3.887 3.887 0.000 3.887 3.887 3.887 0.000" Properties=species:S:1:pos:R:3 pbc="T T T"
Mg 0.969 0.969 0.969
Mg 2.918 2.918 0.969
Mg 2.918 0.969 2.918
Mg 0.969 2.918 2.918
Al 3.887 3.887 3.887
Ni 5.830 5.830 5.830
```

Computed properties:
Energy relative to the elements in meV/atom: 335
Space group: F-43m
DOS at the Fermi energy in states/eV/f.u.: 3.955

***

[16]
VASP calculation (GGA-PBE) on a geometry-optimized K3TiBr structure.

Structure (extended XYZ):
```
5
Lattice="6.325 0.000 0.000 0.000 6.325 0.000 0.000 0.000 6.325" Properties=species:S:1:pos:R:3 pbc="T T T"
K 0.000 0.000 3.163
K 0.000 3.163 0.000
K 3.163 0.000 0.000
Ti 3.163 3.163 3.163
Br 0.000 0.000 0.000
```

Computed properties:
Space group: Pm-3m
Distance to the lowest polymorph of the same formula in meV per atom: 0.0
DOS at the Fermi energy in states/eV/f.u.: 9.909

***

[17]
VASP calculation (GGA-PBE) on a geometry-optimized Ti2HIrPt structure.

Structure (extended XYZ):
```
5
Lattice="4.054 0.000 0.000 0.000 4.054 0.000 0.000 0.000 3.837" Properties=species:S:1:pos:R:3 pbc="T T T"
Ti 0.000 2.027 0.000
Ti 2.027 0.000 0.000
H 0.000 0.000 0.000
Ir 2.027 2.027 1.919
Pt 0.000 0.000 1.919
```

Computed properties:
Space group: P4/mmm
Distance to the lowest polymorph of the same formula in meV per atom: 44.0
DOS at the Fermi energy in states/eV/f.u.: 4.708

***

[18]
VASP calculation (GGA-PBE) on a geometry-optimized Pr11O20 structure.

Structure (extended XYZ):
```
31
Lattice="6.839 0.000 0.000 -0.978 6.980 0.000 -0.644 -0.957 10.699" Properties=species:S:1:pos:R:3 pbc="T T T"
Pr 0.000 0.000 0.000
Pr 0.210 3.664 1.831
Pr 0.871 0.430 3.941
Pr 0.895 3.947 5.572
Pr 1.918 0.335 7.725
Pr 1.867 4.245 9.889
Pr 3.350 1.777 0.810
Pr 3.300 5.688 2.973
Pr 4.323 2.075 5.127
Pr 4.346 5.593 6.757
Pr 5.008 2.359 8.868
O -0.434 0.341 8.512
O -0.402 2.628 3.952
O -0.453 3.764 10.316
O -0.226 6.048 6.039
O 1.110 1.385 1.712
O 0.977 5.249 3.534
O 1.647 -0.605 9.936
O 1.892 1.756 5.752
O 1.917 5.069 7.530
O 2.545 3.987 1.369
O 2.673 2.036 9.330
O 3.301 0.954 3.169
O 3.326 4.266 4.947
O 3.571 6.628 0.762
O 4.241 0.774 7.165
O 4.108 4.638 8.987
O 5.444 -0.025 4.659
O 5.671 2.258 0.382
O 5.620 3.395 6.747
O 5.652 5.681 2.187
```

Computed properties:
Uncorrected energy in eV per atom: -7.711
Space group: P-1
DOS at the Fermi energy in states/eV/f.u.: 22.165

***

[19]
VASP calculation (GGA-PBE) on a geometry-optimized Ce4OsSe2Br structure.

Structure (extended XYZ):
```
8
Lattice="7.311 0.000 0.000 0.000 4.086 0.000 -2.321 0.000 6.976" Properties=species:S:1:pos:R:3 pbc="T T T"
Ce 1.168 0.000 1.559
Ce 0.027 2.043 5.358
Ce 4.963 2.043 1.618
Ce 3.823 0.000 5.417
Os 0.000 2.043 0.000
Se 3.656 0.000 0.000
Se 2.495 2.043 3.488
Br -1.160 0.000 3.488
```

Computed properties:
Uncorrected energy in eV per atom: -6.661
Space group: P2/m
DOS at the Fermi energy in states/eV/f.u.: 20.933

***

[20]
VASP calculation (GGA-PBE) on a geometry-optimized MgHPd3 structure.

Structure (extended XYZ):
```
5
Lattice="4.692 0.000 0.000 0.000 4.692 0.000 0.000 0.000 4.692" Properties=species:S:1:pos:R:3 pbc="T T T"
Mg 0.000 0.000 0.000
H 2.346 2.346 2.346
Pd 0.000 0.000 2.346
Pd 0.000 2.346 0.000
Pd 2.346 0.000 0.000
```

Computed properties:
Space group: Pm-3m
Distance to the lowest polymorph of the same formula in meV per atom: 1561.5
DOS at the Fermi energy in states/eV/f.u.: 1.954